# Pr8Dy3Th2

An optimized crystal structure of Pr8Dy3Th2 (PBE, the Alexandria database).

## Properties
Formation enthalpy at 0 K ... 0.25 eV per atom

a b c (Å): 11.1779 11.1779 5.8089
angles (deg): 90.02 90.02 39.49
Sites, in units of the cell vectors:
1 Pr 0.1018 0.6868 0.0001
2 Pr 0.1740 0.1740 0.5003
3 Pr 0.3132 0.8982 0.9999
4 Pr 0.3654 0.3654 0.5004
5 Pr 0.6346 0.6346 0.4996
6 Pr 0.6868 0.1018 0.0001
7 Pr 0.8260 0.8260 0.4997
8 Pr 0.8982 0.3132 0.9999
9 Dy 0.2224 0.7776 0.5000
10 Dy 0.5000 0.5000 0.0000
11 Dy 0.7776 0.2224 0.5000
12 Th 0.2575 0.2575 0.0004
13 Th 0.7425 0.7425 0.9996

=====

# Rb2CeS2Cl2

An optimized crystal structure of Rb2CeS2Cl2 (PBE, the Alexandria database).

## Properties
Formation energy without anion corrections ... -1.8135 eV/atom

a b c (Å): 9.2014 9.2014 9.2014
angles (deg): 146.25 146.25 48.47
Sites, in units of the cell vectors:
1 Rb 0.1372 0.1372 0.0000
2 Rb 0.8628 0.8628 0.0000
3 Ce 0.5000 0.5000 0.0000
4 S 0.0000 0.5000 0.5000
5 S 0.5000 0.0000 0.5000
6 Cl 0.3356 0.3356 0.0000
7 Cl 0.6644 0.6644 0.0000

=====

# GeAsIN2

An optimized crystal structure of GeAsIN2 (PBE, the Alexandria database).

## Properties
Formation energy without anion corrections ... 1.4336 eV/atom
Energy above the most stable polymorph in this dataset ... 0 meV/atom

a b c (Å): 3.8352 3.8352 7.6809
angles (deg): 90.00 90.00 90.00
Sites, in units of the cell vectors:
1 Ge 0.0000 0.0000 0.0000
2 As 0.5000 0.5000 0.5000
3 I 0.0000 0.0000 0.5000
4 N 0.0000 0.5000 0.0000
5 N 0.5000 0.0000 0.0000

=====

# TaVRe

An optimized crystal structure of TaVRe (PBE, the Alexandria database).

## Properties
Energy above the most stable polymorph in this dataset ... 0 meV/atom
Formation enthalpy at 0 K ... -0.27 eV per atom

a b c (Å): 5.1147 5.1147 5.1147
angles (deg): 120.45 118.90 90.57
Sites, in units of the cell vectors:
1 Ta 0.3771 0.1271 0.2500
2 Ta 0.6229 0.8729 0.7500
3 V 0.0000 0.0000 0.5000
4 V 0.0000 0.5000 0.0000
5 Re 0.0000 0.5000 0.5000
6 Re 0.5000 0.5000 0.0000

=====

# Ti2Al2O7

An optimized crystal structure of Ti2Al2O7 (PBE, the Alexandria database).

## Properties
Formation energy without anion corrections ... -2.5012 eV/atom

a b c (Å): 6.7850 6.7850 6.7850
angles (deg): 60.00 60.00 60.00
Sites, in units of the cell vectors:
1 Ti 0.0000 0.0000 0.0000
2 Ti 0.0000 0.0000 0.5000
3 Ti 0.0000 0.5000 0.0000
4 Ti 0.5000 0.0000 0.0000
5 Al 0.0000 0.5000 0.5000
6 Al 0.5000 0.0000 0.5000
7 Al 0.5000 0.5000 0.0000
8 Al 0.5000 0.5000 0.5000
9 O 0.0980 0.0980 0.6520
10 O 0.0980 0.6520 0.0980
11 O 0.0980 0.6520 0.6520
12 O 0.3480 0.3480 0.9020
13 O 0.3480 0.9020 0.3480
14 O 0.3480 0.9020 0.9020
15 O 0.3750 0.3750 0.3750
16 O 0.6250 0.6250 0.6250
17 O 0.6520 0.0980 0.0980
18 O 0.6520 0.0980 0.6520
19 O 0.6520 0.6520 0.0980
20 O 0.9020 0.3480 0.3480
21 O 0.9020 0.3480 0.9020
22 O 0.9020 0.9020 0.3480

=====

# ZrGaTe3

An optimized crystal structure of ZrGaTe3 (PBE, the Alexandria database).

## Properties
Formation energy without anion corrections ... -0.2353 eV/atom
Energy above the most stable polymorph in this dataset ... 310 meV/atom

a b c (Å): 5.6398 5.6398 5.6398
angles (deg): 90.00 90.00 90.00
Sites, in units of the cell vectors:
1 Zr 0.0000 0.0000 0.0000
2 Ga 0.5000 0.5000 0.5000
3 Te 0.0000 0.0000 0.5000
4 Te 0.0000 0.5000 0.0000
5 Te 0.5000 0.0000 0.0000

=====

Q: Which formula does entry 6 have?
A: ZrGaTe3

=====

Q: What is the formula in the first record?
A: Pr8Dy3Th2